Density functional theory data (GGA-PBE) for a relaxed KAl2Sb crystal.

Lattice parameters (Å, degrees): 4.729 4.729 9.290 90.00 90.00 90.00
Atoms (fractional coordinates):
K1 0.000 0.000 0.000
K2 0.500 0.500 0.500
Al1 0.000 0.500 0.250
Al2 0.000 0.500 0.750
Al3 0.500 0.000 0.250
Al4 0.500 0.000 0.750
Sb1 0.000 0.000 0.500
Sb2 0.500 0.500 0.000

Results
- E (eV per cell) = -23.1